A plane-wave DFT calculation with PBE was carried out for an optimized crystal structure of TbYMnAl.

```
data_TbYMnAl
_chemical_formula_sum 'Tb4 Y4 Mn4 Al4'
_cell_length_a 7.212
_cell_length_b 7.212
_cell_length_c 7.212
_cell_angle_alpha 90.00
_cell_angle_beta 90.00
_cell_angle_gamma 90.00
_space_group_name_H-M_alt 'F -4 3 m'
_space_group_IT_number 216
_space_group_name_Hall 'F -4 2 3'
loop_
_atom_site_label
_atom_site_fract_x
_atom_site_fract_y
_atom_site_fract_z
Tb1 0.000 0.000 0.000
Y1 0.000 0.000 0.500
Mn1 0.250 0.250 0.750
Al1 0.250 0.250 0.250
```

Output
spin magnetization	13.335	μB/cell
formation enthalpy at 0 K	-7	kJ per mole of atoms